Tb3DyY3Te8, optimized geometry, DFT PBE; uncorrected formation energy = -20.76 eV/f.u.; crystal system = trigonal; DOS(E_F) = 6.976 states/eV/cell; total moment = 0.00 μB per formula unit
1.0
-0.663 3.370 -7.998
-6.828 -4.011 3.613
2.617 7.725 3.038
Tb Dy Y Te
3 1 3 8
Cartesian
0.000 0.000 0.000
-3.414 -2.006 1.806
-3.746 -0.321 -2.193
1.309 3.863 1.519
0.977 5.547 -2.480
-2.437 3.542 -0.674
-2.106 1.857 3.325
-2.927 0.773 0.568
-1.947 6.311 -1.916
-3.198 2.441 -3.443
-1.676 4.642 2.095
0.145 4.406 -5.212
-5.020 2.678 3.864
0.470 2.756 -1.295
-5.344 4.328 -0.053